# 1
This record from Alexandria via LeMat-Bulk describes crystalline PuTePdSe at its relaxed geometry. The functional is GGA-PBE.

- space group = P4/nmm

```
data_PuTePdSe
_chemical_formula_sum 'Pu2 Te2 Pd2 Se2'
_cell_length_a 4.341
_cell_length_b 4.341
_cell_length_c 9.459
_cell_angle_alpha 90.00
_cell_angle_beta 90.00
_cell_angle_gamma 90.00
_space_group_name_H-M_alt 'P 1'
_space_group_IT_number 1
_space_group_name_Hall 'P 1'
loop_
_atom_site_label
_atom_site_type_symbol
_atom_site_fract_x
_atom_site_fract_y
_atom_site_fract_z
Te1 Te 0.500 0.000 0.180
Pd1 Pd 0.500 0.500 0.000
Pu1 Pu 0.500 0.000 0.716
Se1 Se 0.000 0.000 0.500
Pu2 Pu 0.000 0.500 0.284
Pd2 Pd 0.000 0.000 0.000
Te2 Te 0.000 0.500 0.820
Se2 Se 0.500 0.500 0.500
```

---

# 2
This record from Alexandria via LeMat-Bulk describes crystalline Pu2TlPdSe4 at its relaxed geometry. The functional is GGA-PBE.

- space group = Cmcm

```
data_Pu2TlPdSe4
_chemical_formula_sum 'Pu4 Tl2 Pd2 Se8'
_cell_length_a 4.143
_cell_length_b 7.344
_cell_length_c 14.569
_cell_angle_alpha 90.00
_cell_angle_beta 90.00
_cell_angle_gamma 106.38
_space_group_name_H-M_alt 'P 1'
_space_group_IT_number 1
_space_group_name_Hall 'P 1'
loop_
_atom_site_label
_atom_site_type_symbol
_atom_site_fract_x
_atom_site_fract_y
_atom_site_fract_z
Pu1 Pu 0.368 0.736 0.934
Pu2 Pu 0.632 0.264 0.434
Tl1 Tl 0.880 0.760 0.250
Pd1 Pd 0.165 0.330 0.250
Se1 Se 0.267 0.533 0.395
Pu3 Pu 0.632 0.264 0.066
Se2 Se 0.733 0.467 0.895
Se3 Se 0.561 0.123 0.250
Se4 Se 0.733 0.467 0.605
Se5 Se 0.267 0.533 0.105
Pu4 Pu 0.368 0.736 0.566
Se6 Se 0.000 0.000 0.000
Se7 Se 0.000 0.000 0.500
Se8 Se 0.439 0.877 0.750
Pd2 Pd 0.835 0.670 0.750
Tl2 Tl 0.120 0.240 0.750
```

---

# 3
This record from Alexandria via LeMat-Bulk describes crystalline PuTl3Pd2Se6 at its relaxed geometry. The functional is GGA-PBE.

- space group = C2/m

```
data_PuTl3Pd2Se6
_chemical_formula_sum 'Pu1 Tl3 Pd2 Se6'
_cell_length_a 6.646
_cell_length_b 6.646
_cell_length_c 8.267
_cell_angle_alpha 97.63
_cell_angle_beta 97.63
_cell_angle_gamma 119.83
_space_group_name_H-M_alt 'P 1'
_space_group_IT_number 1
_space_group_name_Hall 'P 1'
loop_
_atom_site_label
_atom_site_type_symbol
_atom_site_fract_x
_atom_site_fract_y
_atom_site_fract_z
Tl1 Tl 0.841 0.159 0.500
Se1 Se 0.063 0.425 0.192
Pu1 Pu 0.000 0.000 0.000
Tl2 Tl 0.500 0.500 0.500
Se2 Se 0.299 0.299 0.812
Se3 Se 0.937 0.575 0.808
Se4 Se 0.701 0.701 0.188
Se5 Se 0.575 0.937 0.808
Tl3 Tl 0.159 0.841 0.500
Pd1 Pd 0.333 0.667 0.000
Pd2 Pd 0.667 0.333 0.000
Se6 Se 0.425 0.063 0.192
```

---

# 4
This record from Alexandria via LeMat-Bulk describes crystalline Pu3Si6Pd20 at its relaxed geometry. The functional is GGA-PBE.

- space group = Fm-3m

```
data_Pu3Si6Pd20
_chemical_formula_sum 'Pu3 Si6 Pd20'
_cell_length_a 8.746
_cell_length_b 8.746
_cell_length_c 8.746
_cell_angle_alpha 60.00
_cell_angle_beta 60.00
_cell_angle_gamma 60.00
_space_group_name_H-M_alt 'P 1'
_space_group_IT_number 1
_space_group_name_Hall 'P 1'
loop_
_atom_site_label
_atom_site_type_symbol
_atom_site_fract_x
_atom_site_fract_y
_atom_site_fract_z
Pd1 Pd 0.616 0.153 0.616
Pu1 Pu 0.250 0.250 0.250
Pd2 Pd 0.616 0.616 0.616
Pd3 Pd 0.000 0.346 0.000
Pd4 Pd 0.384 0.847 0.384
Pd5 Pd 0.654 0.346 0.000
Pd6 Pd 0.000 0.654 0.000
Si1 Si 0.732 0.268 0.268
Pd7 Pd 0.346 0.654 0.000
Pd8 Pd 0.346 0.000 0.654
Pd9 Pd 0.153 0.616 0.616
Si2 Si 0.268 0.268 0.732
Pd10 Pd 0.384 0.384 0.847
Pd11 Pd 0.384 0.384 0.384
Pd12 Pd 0.847 0.384 0.384
Pd13 Pd 0.000 0.346 0.654
Pd14 Pd 0.000 0.654 0.346
Pd15 Pd 0.654 0.000 0.000
Si3 Si 0.268 0.732 0.268
Pd16 Pd 0.654 0.000 0.346
Pd17 Pd 0.000 0.000 0.654
Pd18 Pd 0.616 0.616 0.153
Pd19 Pd 0.346 0.000 0.000
Si4 Si 0.732 0.732 0.268
Pd20 Pd 0.000 0.000 0.346
Si5 Si 0.732 0.268 0.732
Si6 Si 0.268 0.732 0.732
Pu2 Pu 0.000 0.000 0.000
Pu3 Pu 0.750 0.750 0.750
```

---

# 5
This record from Alexandria via LeMat-Bulk describes crystalline Pu2SiPd at its relaxed geometry. The functional is GGA-PBE.

- space group = P4/mmm

```
data_Pu2SiPd
_chemical_formula_sum 'Pu2 Si1 Pd1'
_cell_length_a 5.076
_cell_length_b 3.543
_cell_length_c 3.543
_cell_angle_alpha 90.00
_cell_angle_beta 90.00
_cell_angle_gamma 90.00
_space_group_name_H-M_alt 'P 1'
_space_group_IT_number 1
_space_group_name_Hall 'P 1'
loop_
_atom_site_label
_atom_site_type_symbol
_atom_site_fract_x
_atom_site_fract_y
_atom_site_fract_z
Si1 Si 0.500 0.000 0.000
Pu1 Pu 0.000 0.000 0.500
Pu2 Pu 0.000 0.500 0.000
Pd1 Pd 0.500 0.500 0.500
```

---

# 6
This record from Alexandria via LeMat-Bulk describes crystalline PuSiPd3 at its relaxed geometry. The functional is GGA-PBE.

- polymorph energy (0 for the lowest one) (kJ per mole of atoms) = 17.4
- space group = Pm-3m

```
data_PuSiPd3
_chemical_formula_sum 'Pu2 Si2 Pd6'
_cell_length_a 6.557
_cell_length_b 6.557
_cell_length_c 6.557
_cell_angle_alpha 89.97
_cell_angle_beta 120.02
_cell_angle_gamma 120.02
_space_group_name_H-M_alt 'P 1'
_space_group_IT_number 1
_space_group_name_Hall 'P 1'
loop_
_atom_site_label
_atom_site_type_symbol
_atom_site_fract_x
_atom_site_fract_y
_atom_site_fract_z
Si1 Si 0.500 0.000 0.500
Pd1 Pd 0.500 0.250 0.250
Pu1 Pu 0.000 0.250 0.250
Pd2 Pd 0.000 0.750 0.250
Si2 Si 0.500 0.500 0.000
Pd3 Pd 0.500 0.750 0.750
Pd4 Pd 0.500 0.250 0.750
Pd5 Pd 0.500 0.750 0.250
Pd6 Pd 0.000 0.250 0.750
Pu2 Pu 0.000 0.750 0.750
```

---

# 7
This record from Alexandria via LeMat-Bulk describes crystalline PuSi2Pd3 at its relaxed geometry. The functional is GGA-PBE.

- space group = C2/m

```
data_PuSi2Pd3
_chemical_formula_sum 'Pu3 Si6 Pd9'
_cell_length_a 3.968
_cell_length_b 8.452
_cell_length_c 9.919
_cell_angle_alpha 107.36
_cell_angle_beta 90.00
_cell_angle_gamma 103.58
_space_group_name_H-M_alt 'P 1'
_space_group_IT_number 1
_space_group_name_Hall 'P 1'
loop_
_atom_site_label
_atom_site_type_symbol
_atom_site_fract_x
_atom_site_fract_y
_atom_site_fract_z
Pu1 Pu 0.000 0.000 0.000
Pd1 Pd 0.781 0.562 0.606
Pd2 Pd 0.624 0.248 0.203
Pd3 Pd 0.679 0.358 0.965
Si1 Si 0.637 0.274 0.455
Pu2 Pu 0.843 0.686 0.300
Pd4 Pd 0.500 0.000 0.500
Pd5 Pd 0.219 0.438 0.394
Si2 Si 0.199 0.398 0.133
Si3 Si 0.363 0.726 0.545
Pd6 Pd 0.959 0.918 0.668
Si4 Si 0.461 0.923 0.221
Si5 Si 0.539 0.077 0.779
Si6 Si 0.801 0.602 0.867
Pd7 Pd 0.376 0.752 0.797
Pd8 Pd 0.041 0.082 0.332
Pu3 Pu 0.157 0.314 0.700
Pd9 Pd 0.321 0.642 0.035
```

---

# 8
This record from Alexandria via LeMat-Bulk describes crystalline Pu2SiPd at its relaxed geometry. The functional is GGA-PBE.

- space group = P4/mmm

```
data_Pu2SiPd
_chemical_formula_sum 'Pu2 Si1 Pd1'
_cell_length_a 3.787
_cell_length_b 3.787
_cell_length_c 5.678
_cell_angle_alpha 90.00
_cell_angle_beta 90.00
_cell_angle_gamma 90.00
_space_group_name_H-M_alt 'P 1'
_space_group_IT_number 1
_space_group_name_Hall 'P 1'
loop_
_atom_site_label
_atom_site_type_symbol
_atom_site_fract_x
_atom_site_fract_y
_atom_site_fract_z
Pd1 Pd 0.500 0.500 0.500
Si1 Si 0.500 0.500 0.000
Pu1 Pu 0.000 0.000 0.757
Pu2 Pu 0.000 0.000 0.243
```

---

# 9
This record from Alexandria via LeMat-Bulk describes crystalline PuSi2Pd9 at its relaxed geometry. The functional is GGA-PBE.

- space group = I4_1/amd

```
data_PuSi2Pd9
_chemical_formula_sum 'Pu2 Si4 Pd18'
_cell_length_a 6.659
_cell_length_b 8.360
_cell_length_c 8.360
_cell_angle_alpha 80.87
_cell_angle_beta 66.53
_cell_angle_gamma 66.53
_space_group_name_H-M_alt 'P 1'
_space_group_IT_number 1
_space_group_name_Hall 'P 1'
loop_
_atom_site_label
_atom_site_type_symbol
_atom_site_fract_x
_atom_site_fract_y
_atom_site_fract_z
Pd1 Pd 0.432 0.814 0.433
Pd2 Pd 0.996 0.933 0.686
Si1 Si 0.875 0.250 0.750
Pd3 Pd 0.615 0.314 0.067
Pd4 Pd 0.679 0.186 0.567
Si2 Si 0.375 0.750 0.750
Si3 Si 0.875 0.750 0.250
Pd5 Pd 0.615 0.067 0.314
Pd6 Pd 0.318 0.686 0.067
Pd7 Pd 0.432 0.433 0.814
Pd8 Pd 0.135 0.186 0.433
Pd9 Pd 0.750 0.500 0.500
Pd10 Pd 0.000 0.000 0.000
Pd11 Pd 0.679 0.567 0.186
Pd12 Pd 0.071 0.314 0.933
Pd13 Pd 0.318 0.067 0.686
Pd14 Pd 0.754 0.567 0.814
Pu1 Pu 0.500 0.000 0.000
Pd15 Pd 0.071 0.933 0.314
Pd16 Pd 0.754 0.814 0.567
Pd17 Pd 0.135 0.433 0.186
Si4 Si 0.875 0.250 0.250
Pd18 Pd 0.996 0.686 0.933
Pu2 Pu 0.250 0.500 0.500
```

---

# 10
This record from Alexandria via LeMat-Bulk describes crystalline PuSi4Pd4 at its relaxed geometry. The functional is GGA-PBE.

- space group = P4_2/nmc

```
data_PuSi4Pd4
_chemical_formula_sum 'Pu2 Si8 Pd8'
_cell_length_a 6.028
_cell_length_b 6.028
_cell_length_c 8.253
_cell_angle_alpha 90.00
_cell_angle_beta 90.00
_cell_angle_gamma 90.00
_space_group_name_H-M_alt 'P 1'
_space_group_IT_number 1
_space_group_name_Hall 'P 1'
loop_
_atom_site_label
_atom_site_type_symbol
_atom_site_fract_x
_atom_site_fract_y
_atom_site_fract_z
Pd1 Pd 0.234 0.500 0.882
Si1 Si 0.000 0.300 0.679
Si2 Si 0.500 0.200 0.821
Pd2 Pd 0.734 0.000 0.618
Pd3 Pd 0.500 0.234 0.118
Si3 Si 0.500 0.800 0.821
Pu1 Pu 0.500 0.500 0.500
Si4 Si 0.200 0.500 0.179
Pd4 Pd 0.000 0.734 0.382
Pd5 Pd 0.766 0.500 0.882
Si5 Si 0.700 0.000 0.321
Pu2 Pu 0.000 0.000 0.000
Si6 Si 0.000 0.700 0.679
Pd6 Pd 0.000 0.266 0.382
Si7 Si 0.800 0.500 0.179
Si8 Si 0.300 0.000 0.321
Pd7 Pd 0.500 0.766 0.118
Pd8 Pd 0.266 0.000 0.618
```

---

| no. | uncorrected formation energy (eV per atom) |
| --- | --- |
| 1 | -0.87 |
| 2 | -1.06 |
| 3 | -0.54 |
| 4 | -0.66 |
| 5 | -0.12 |
| 6 | -0.36 |
| 7 | -0.71 |
| 8 | -0.44 |
| 9 | -0.47 |
| 10 | -0.53 |